[1]
Entry from Alexandria via LeMat-Bulk: a geometry-optimized LaTm2Tl2 structure (PBE).

Calculated values
Symmetry = P-1 (2)
Total moment = 0.0000 μB per atom
Formation enthalpy at 0 K = -247.9 meV/atom
Total DFT energy (no corrections) = -39.68 eV for the cell shown
Polymorph energy (0 for the lowest one) = 0.0106 eV per atom
Volume = 30.07 A^3/atom

a = 7.0072 Å, b = 6.6001 Å, c = 8.7295 Å
α = 94.66°, β = 69.96°, γ = 57.34°
Positions (direct):
Tm 0.4359 0.7826 0.0177
Tm 0.2879 0.6855 0.4217
Tm 0.5641 0.2174 0.9823
Tm 0.7121 0.3145 0.5783
La 0.8611 0.7656 0.2449
La 0.1389 0.2344 0.7551
Tl 0.1322 0.7265 0.8343
Tl 0.2534 0.2151 0.3509
Tl 0.7466 0.7849 0.6491
Tl 0.8678 0.2735 0.1657

=====

[2]
Entry from Alexandria via LeMat-Bulk: a geometry-optimized La4Tm5Tl structure (PBE).

Calculated values
Symmetry = I4mm (107)
Total moment = 0.0000 μB per atom
Formation enthalpy at 0 K = 72.0 meV/atom
Total DFT energy (no corrections) = -43.71 eV for the cell shown
Volume = 34.26 A^3/atom

a = 5.8037 Å, b = 8.2134 Å, c = 8.2134 Å
α = 82.83°, β = 69.31°, γ = 69.31°
Positions (direct):
Tm 0.7740 0.3655 0.9999
Tm 0.6634 0.0000 0.0000
Tm 0.1393 0.6345 0.0001
Tm 0.7738 0.0001 0.3655
Tm 0.1395 0.9999 0.6345
La 0.1509 0.3095 0.3096
La 0.4604 0.3096 0.6905
La 0.4605 0.6904 0.3095
La 0.7700 0.6905 0.6904
Tl 0.1786 0.0000 0.0000

=====

[3]
Entry from Alexandria via LeMat-Bulk: a geometry-optimized LaTm4Tl structure (PBE).

Calculated values
Symmetry = P4/mmm (123)
Total moment = 0.0000 μB per atom
Formation enthalpy at 0 K = -93.0 meV/atom
Total DFT energy (no corrections) = -25.74 eV for the cell shown
Polymorph energy (0 for the lowest one) = 0.0000 eV per atom
Volume = 30.25 A^3/atom

a = 3.5852 Å, b = 3.5852 Å, c = 14.1225 Å
α = 90.00°, β = 90.00°, γ = 90.00°
Positions (direct):
Tm 0.5000 0.5000 0.1822
Tm 0.0000 0.0000 0.6479
Tm 0.0000 0.0000 0.3521
Tm 0.5000 0.5000 0.8178
La 0.0000 0.0000 0.0000
Tl 0.5000 0.5000 0.5000

=====

[4]
Entry from Alexandria via LeMat-Bulk: a geometry-optimized La2Tm2Tl7 structure (PBE).

Calculated values
Symmetry = C2/m (12)
Total moment = 0.0000 μB per atom
Formation enthalpy at 0 K = -159.5 meV/atom
Total DFT energy (no corrections) = -37.12 eV for the cell shown
Volume = 30.51 A^3/atom

a = 8.1781 Å, b = 5.1231 Å, c = 8.1781 Å
α = 81.80°, β = 92.53°, γ = 98.20°
Positions (direct):
Tl 0.0000 0.0000 0.0000
Tl 0.3926 0.2079 0.9592
Tl 0.9592 0.7921 0.3926
Tl 0.5674 0.7729 0.4326
Tl 0.0408 0.2079 0.6074
Tl 0.6074 0.7921 0.0408
Tl 0.4326 0.2271 0.5674
La 0.2131 0.5000 0.2131
La 0.7869 0.5000 0.7869
Tm 0.2602 0.6964 0.7398
Tm 0.7398 0.3036 0.2602

=====

[5]
Entry from Alexandria via LeMat-Bulk: a geometry-optimized La5TmTl6 structure (PBE).

Calculated values
Symmetry = P2/m (10)
Total moment = 0.0000 μB per atom
Formation enthalpy at 0 K = -401.2 meV/atom
Total DFT energy (no corrections) = -48.12 eV for the cell shown
Volume = 30.77 A^3/atom

a = 5.6059 Å, b = 7.8245 Å, c = 8.8860 Å
α = 90.00°, β = 71.32°, γ = 90.00°
Positions (direct):
Tl 0.5000 0.2455 0.0000
Tl 0.1606 0.2404 0.6790
Tl 0.1606 0.7596 0.6790
Tl 0.8394 0.7596 0.3210
Tl 0.8394 0.2404 0.3210
Tl 0.5000 0.7545 0.0000
La 0.3266 0.5000 0.3459
La 0.6656 0.0000 0.6693
La 0.6734 0.5000 0.6541
La 0.0000 0.5000 0.0000
La 0.3344 0.0000 0.3307
Tm 0.0000 0.0000 0.0000

=====

[6]
Entry from Alexandria via LeMat-Bulk: a geometry-optimized LaTm2Tl2 structure (PBE).

Calculated values
Symmetry = P2_1/m (11)
Total moment = 0.0000 μB per atom
Formation enthalpy at 0 K = -258.5 meV/atom
Total DFT energy (no corrections) = -39.79 eV for the cell shown
Polymorph energy (0 for the lowest one) = 0.0000 eV per atom
Volume = 29.47 A^3/atom

a = 3.7799 Å, b = 5.5275 Å, c = 14.2325 Å
α = 90.00°, β = 97.64°, γ = 90.00°
Positions (direct):
Tl 0.5460 0.2500 0.0886
Tl 0.4540 0.7500 0.9114
Tl 0.6443 0.7500 0.2893
Tl 0.3557 0.2500 0.7107
La 0.1465 0.2500 0.2946
La 0.8535 0.7500 0.7054
Tm 0.7637 0.2500 0.5266
Tm 0.2363 0.7500 0.4734
Tm 0.9503 0.2500 0.8994
Tm 0.0497 0.7500 0.1006